! GGA-PBE CeTmMg, optimized geometry; values from VASP
! polymorph energy (0 for the lowest one)	3.06	kJ/mol of atoms
! ΔE_f	0.11	eV per formula unit
! DFT total energy	-3.96	eV per atom
! calculated volume	28.03	A^3/atom
&SYSTEM
  ibrav = 0, nat = 3, ntyp = 3
/
ATOMIC_SPECIES
Tm 168.93 Tm.upf
Mg 24.30 Mg.upf
Ce 140.12 Ce.upf
CELL_PARAMETERS angstrom
-1.809 -2.405 1.561
0.001 -1.847 -2.843
7.090 -1.146 2.768
ATOMIC_POSITIONS angstrom
Tm 0.065 -0.034 0.022
Mg 1.122 -3.197 0.055
Ce 4.096 -2.166 1.408

=====

! GGA-PBE CeTm2Mg5, optimized geometry; values from VASP
! ΔE_f	-0.22	eV per formula unit
! DFT total energy	-2.88	eV per atom
! calculated volume	25.78	A^3/atom
&SYSTEM
  ibrav = 0, nat = 8, ntyp = 3
/
ATOMIC_SPECIES
Mg 24.30 Mg.upf
Ce 140.12 Ce.upf
Tm 168.93 Tm.upf
CELL_PARAMETERS angstrom
4.939 0.000 -1.852
-0.694 4.890 -1.852
0.290 0.334 8.286
ATOMIC_POSITIONS angstrom
Mg 3.064 0.685 0.660
Mg 4.288 2.094 3.922
Mg 0.247 3.130 0.660
Ce 0.000 0.000 0.000
Tm 3.295 3.795 1.274
Mg 2.122 2.445 -1.852
Tm 1.240 1.429 3.308
Mg 1.471 4.539 3.922

=====

! GGA-PBE Ce4TmMg, optimized geometry; values from VASP
! ΔE_f	1.46	eV per formula unit
! DFT total energy	-4.72	eV per atom
! calculated volume	28.69	A^3/atom
&SYSTEM
  ibrav = 0, nat = 6, ntyp = 3
/
ATOMIC_SPECIES
Mg 24.30 Mg.upf
Ce 140.12 Ce.upf
Tm 168.93 Tm.upf
CELL_PARAMETERS angstrom
-2.963 -2.643 4.819
-2.708 -5.585 -0.683
2.446 -5.018 2.797
ATOMIC_POSITIONS angstrom
Mg 0.000 0.000 0.000
Ce -0.602 -5.416 4.750
Ce -3.340 -5.716 2.902
Tm -0.806 -3.312 1.733
Ce -2.041 -8.382 4.388
Ce -0.467 -6.978 1.828

=====

| no. | magnetic moment (μB/cell) |
| --- | --- |
| 1 | 0.95 |
| 2 | 1.17 |
| 3 | 3.19 |